# Na2Mn2RhO6 | the Alexandria database | PBE with a Hubbard U | optimized geometry
# - Density of states at the Fermi level: 0.258 states/eV/atom
# - E_tot: -140.6 eV/cell
data_Na2Mn2RhO6
_chemical_formula_sum 'Na4 Mn4 Rh2 O12'
_cell_length_a 5.4272
_cell_length_b 8.9093
_cell_length_c 5.8100
_cell_angle_alpha 90.00
_cell_angle_beta 108.93
_cell_angle_gamma 90.00
_symmetry_space_group_name_H-M 'C 1 2/m 1'
_symmetry_Int_Tables_number 12
_symmetry_space_group_name_Hall '-C 2y'
loop_
_atom_site_label
_atom_site_type_symbol
_atom_site_fract_x
_atom_site_fract_y
_atom_site_fract_z
_atom_site_occupancy
Na1 Na 0.0000 0.1681 0.0000 1
Mn1 Mn 0.0000 0.3349 0.5000 1
Rh1 Rh 0.0000 0.0000 0.5000 1
O1 O 0.2153 0.1742 0.6945 1
O2 O 0.2294 0.5000 0.6841 1